Arrangement A

First-principles (GGA-PBE) data for Tl2C after structural relaxation, as listed in the Alexandria database.

Output
Size of the total moment (μB/cell): 0.0
Space group: No. 62
Calculated density (g cm⁻³): 10.1

a = 3.711 Å, b = 11.809 Å, c = 6.309 Å
α = 90.00°, β = 90.00°, γ = 90.00°
Element x y z (fractional)
C (0.250, 0.662, 0.394)
C (0.250, 0.162, 0.106)
C (0.750, 0.838, 0.894)
C (0.750, 0.338, 0.606)
Tl (0.750, 0.739, 0.579)
Tl (0.250, 0.490, 0.750)
Tl (0.750, 0.239, 0.921)
Tl (0.250, 0.990, 0.750)
Tl (0.750, 0.010, 0.250)
Tl (0.250, 0.761, 0.079)
Tl (0.750, 0.510, 0.250)
Tl (0.250, 0.261, 0.421)

***

Arrangement B

First-principles (GGA-PBE) data for Tl2C after structural relaxation, as listed in the Alexandria database.

Output
Size of the total moment (μB/cell): 0.0
Space group: No. 164
Calculated density (g cm⁻³): 10.8

a = 3.772 Å, b = 3.772 Å, c = 5.252 Å
α = 90.00°, β = 90.00°, γ = 120.00°
Element x y z (fractional)
C (0.000, 0.000, 0.000)
Tl (0.333, 0.667, 0.250)
Tl (0.667, 0.333, 0.750)

***

It is arrangement A that is the most stable of them.

***

Arrangement A

First-principles (GGA-PBE) data for Tl2C after structural relaxation, as listed in the Alexandria database.

Output
Size of the total moment (μB/cell): 0.0
Space group: No. 187
Calculated density (g cm⁻³): 10.2

a = 3.613 Å, b = 3.613 Å, c = 6.074 Å
α = 90.00°, β = 90.00°, γ = 120.00°
Element x y z (fractional)
Tl (0.000, 0.000, 0.747)
Tl (0.000, 0.000, 0.253)
C (0.333, 0.667, 0.500)

***

Arrangement B

First-principles (GGA-PBE) data for Tl2C after structural relaxation, as listed in the Alexandria database.

Output
Size of the total moment (μB/cell): 0.0
Space group: No. 123
Calculated density (g cm⁻³): 10.7

a = 3.552 Å, b = 3.552 Å, c = 5.200 Å
α = 90.00°, β = 90.00°, γ = 90.00°
Element x y z (fractional)
Tl (0.000, 0.000, 0.500)
Tl (0.500, 0.500, 0.000)
C (0.000, 0.000, 0.000)

***

It is arrangement B that is the most stable of them.